No. 1
{"formula": "Al3Ni", "functional": "PBE-GGA", "state": "optimized geometry", "cell": [[4.889, 0.000, 0.000], [0.000, 9.769, 0.000], [0.000, 0.000, 9.769]], "species": ["Al", "Al", "Al", "Al", "Al", "Al", "Al", "Al", "Al", "Al", "Al", "Al", "Al", "Al", "Al", "Al", "Al", "Al", "Al", "Al", "Al", "Al", "Al", "Al", "Ni", "Ni", "Ni", "Ni", "Ni", "Ni", "Ni", "Ni"], "frac_coords": [[0.017, 0.724, 0.173], [0.468, 0.084, 0.390], [0.983, 0.173, 0.276], [0.017, 0.276, 0.827], [0.483, 0.224, 0.673], [0.716, 0.967, 0.138], [0.532, 0.610, 0.084], [0.468, 0.916, 0.610], [0.483, 0.776, 0.327], [0.216, 0.362, 0.467], [0.517, 0.673, 0.776], [0.968, 0.110, 0.584], [0.284, 0.138, 0.033], [0.216, 0.638, 0.533], [0.284, 0.862, 0.967], [0.532, 0.390, 0.916], [0.032, 0.416, 0.110], [0.968, 0.890, 0.416], [0.716, 0.033, 0.862], [0.517, 0.327, 0.224], [0.784, 0.467, 0.638], [0.983, 0.827, 0.724], [0.784, 0.533, 0.362], [0.032, 0.584, 0.890], [0.721, 0.288, 0.457], [0.221, 0.043, 0.788], [0.779, 0.788, 0.957], [0.779, 0.212, 0.043], [0.279, 0.543, 0.288], [0.221, 0.957, 0.212], [0.721, 0.712, 0.543], [0.279, 0.457, 0.712]], "e_tot_ev_per_atom": -4.6203, "vol_a3_per_cell": 466.6, "rho_g_cm3": 3.98, "total_magnetization_mub_per_cell": 0.000}

No. 2
{"formula": "Al3Ni", "functional": "PBE-GGA", "state": "optimized geometry", "cell": [[-4.279, -1.777, 0.413], [2.259, -0.271, 4.058], [-0.979, 2.524, 0.714]], "species": ["Ni", "Al", "Al", "Al"], "frac_coords": [[0.000, 0.000, 0.000], [0.500, 0.000, 0.500], [0.000, 0.500, 0.500], [0.500, 0.500, 0.000]], "e_tot_ev_per_atom": -4.4429, "vol_a3_per_cell": 56.8, "rho_g_cm3": 4.08, "total_magnetization_mub_per_cell": 0.000}

No. 3
{"formula": "AlNi5", "functional": "PBE-GGA", "state": "optimized geometry", "cell": [[0.000, 3.273, 3.273], [3.273, 0.000, 3.273], [3.273, 3.273, 0.000]], "species": ["Ni", "Ni", "Ni", "Ni", "Ni", "Al"], "frac_coords": [[0.250, 0.250, 0.250], [0.625, 0.126, 0.625], [0.625, 0.625, 0.126], [0.126, 0.625, 0.625], [0.625, 0.625, 0.625], [0.000, 0.000, 0.000]], "vol_a3_per_cell": 70.1, "rho_g_cm3": 7.59, "de_polymorph_ev_per_atom": 0.191, "total_magnetization_mub_per_cell": 0.325}

No. 4
{"formula": "Al3Ni", "functional": "PBE-GGA", "state": "optimized geometry", "cell": [[4.938, -0.001, 0.009], [1.747, 4.618, -0.009], [-2.698, -3.242, 2.568]], "species": ["Al", "Al", "Al", "Ni"], "frac_coords": [[0.292, 0.277, 0.016], [0.739, 0.723, 0.016], [0.102, 0.500, 0.602], [0.700, 0.000, 0.700]], "e_tot_ev_per_atom": -4.4721, "vol_a3_per_cell": 58.5, "rho_g_cm3": 3.96, "total_magnetization_mub_per_cell": 0.000}

No. 5
{"formula": "AlNi2", "functional": "PBE-GGA", "state": "optimized geometry", "cell": [[1.320, -6.313, 0.000], [1.320, 6.313, 0.000], [0.000, 0.000, 4.293]], "species": ["Al", "Al", "Ni", "Ni", "Ni", "Ni"], "frac_coords": [[0.788, 0.212, 0.750], [0.212, 0.788, 0.250], [0.448, 0.552, 0.750], [0.118, 0.882, 0.750], [0.882, 0.118, 0.250], [0.552, 0.448, 0.250]], "e_tot_ev_per_atom": -5.3482, "vol_a3_per_cell": 71.5, "rho_g_cm3": 6.70, "total_magnetization_mub_per_cell": 0.448}

No. 6
{"formula": "Al4Ni3", "functional": "PBE-GGA", "state": "optimized geometry", "cell": [[3.894, 0.000, 1.161], [1.774, 3.466, 1.161], [0.056, 0.034, 6.925]], "species": ["Al", "Al", "Al", "Al", "Ni", "Ni", "Ni"], "frac_coords": [[0.871, 0.871, 0.387], [0.620, 0.620, 0.141], [0.129, 0.129, 0.613], [0.380, 0.380, 0.859], [0.254, 0.254, 0.239], [0.746, 0.746, 0.761], [0.000, 0.000, 0.000]], "vol_a3_per_cell": 93.1, "rho_g_cm3": 5.06, "de_polymorph_ev_per_atom": 0.024, "total_magnetization_mub_per_cell": 0.000}

No. 7
{"formula": "AlNi2", "functional": "PBE-GGA", "state": "optimized geometry", "cell": [[-3.643, 1.134, 0.608], [-2.135, -1.732, 2.714], [-0.918, 1.897, 3.238]], "species": ["Ni", "Ni", "Al"], "frac_coords": [[0.250, 0.250, 0.250], [0.750, 0.750, 0.750], [0.000, 0.000, 0.000]], "e_tot_ev_per_atom": -5.2093, "vol_a3_per_cell": 40.8, "rho_g_cm3": 5.88, "total_magnetization_mub_per_cell": 0.000}

No. 8
{"formula": "AlNi5", "functional": "PBE-GGA", "state": "optimized geometry", "cell": [[2.289, -3.965, 0.000], [2.289, 3.965, 0.000], [0.000, 0.000, 4.066]], "species": ["Ni", "Ni", "Ni", "Ni", "Ni", "Al"], "frac_coords": [[0.500, 0.000, 0.500], [0.333, 0.667, 0.000], [0.500, 0.500, 0.500], [0.667, 0.333, 0.000], [0.000, 0.500, 0.500], [0.000, 0.000, 0.000]], "vol_a3_per_cell": 73.8, "rho_g_cm3": 7.21, "de_polymorph_ev_per_atom": 0.268, "total_magnetization_mub_per_cell": 1.427}